Compound: Co2SnO4
Source: Alexandria
Functional: PBE+U
Structure: relaxed

Its energy above the lowest structure with this stoichiometry is 0 kJ/mol of formula units.

The space group is P4_122 (No. 91) and the conventional cell measures 6.211, 6.211 and 8.731 Å, with angles of 90.00, 90.00 and 90.00 degrees. The distinct sites, in fractional coordinates, are Co at (0.000, 0.231, 0.000), Co at (0.253, 0.253, 0.375), Sn at (0.234, 0.500, 0.750), O at (0.010, 0.255, 0.758) and O at (0.256, 0.476, 0.991).